# 1
{"formula": "Nd4ErSc", "functional": "GGA-PBE", "state": "optimized geometry", "polymorph_energy_ev_per_fu": 0.000, "rho_g_cm3": 6.728, "n_ef_per_ev_cell": 7.92, "e_tot_ev_per_cell": -29.76, "lattice": [[3.103, -5.352, 0.000], [3.103, 5.352, 0.000], [-2.024, 0.000, 5.864]], "species": ["Nd", "Nd", "Nd", "Nd", "Er", "Sc"], "fractional_positions": [[0.163, 0.837, 0.000], [0.334, 0.666, 0.500], [0.666, 0.334, 0.500], [0.837, 0.163, 0.000], [0.500, 0.500, 0.000], [0.000, 0.000, 0.500]]}

***

# 2
{"formula": "NdEr12Sc5", "functional": "GGA-PBE", "state": "optimized geometry", "rho_g_cm3": 7.539, "n_ef_per_ev_cell": 24.18, "e_tot_ev_per_cell": -90.04, "lattice": [[2.959, -5.244, 0.000], [2.959, 5.244, 0.000], [-0.020, 0.000, 16.864]], "species": ["Nd", "Er", "Er", "Er", "Er", "Er", "Er", "Er", "Er", "Er", "Er", "Er", "Er", "Sc", "Sc", "Sc", "Sc", "Sc"], "fractional_positions": [[0.000, 0.000, 0.000], [0.001, 0.337, 0.835], [0.166, 0.499, 0.341], [0.168, 0.168, 0.659], [0.336, 0.336, 0.166], [0.337, 0.001, 0.835], [0.499, 0.166, 0.341], [0.501, 0.834, 0.659], [0.663, 0.999, 0.165], [0.664, 0.664, 0.834], [0.832, 0.832, 0.341], [0.834, 0.501, 0.659], [0.999, 0.663, 0.165], [0.166, 0.834, 0.500], [0.332, 0.668, 0.000], [0.500, 0.500, 0.500], [0.668, 0.332, 0.000], [0.834, 0.166, 0.500]]}

***

# 3
{"formula": "Nd12Er6Sc", "functional": "GGA-PBE", "state": "optimized geometry", "rho_g_cm3": 7.167, "n_ef_per_ev_cell": 32.75, "e_tot_ev_per_cell": -88.37, "lattice": [[6.059, 3.498, 5.063], [-6.059, 3.498, 5.063], [0.000, -6.997, 5.063]], "species": ["Nd", "Nd", "Nd", "Nd", "Nd", "Nd", "Nd", "Nd", "Nd", "Nd", "Nd", "Nd", "Er", "Er", "Er", "Er", "Er", "Er", "Sc"], "fractional_positions": [[0.036, 0.284, 0.935], [0.065, 0.964, 0.716], [0.138, 0.312, 0.481], [0.284, 0.935, 0.036], [0.312, 0.481, 0.138], [0.481, 0.138, 0.312], [0.519, 0.862, 0.688], [0.688, 0.519, 0.862], [0.716, 0.065, 0.964], [0.862, 0.688, 0.519], [0.935, 0.036, 0.284], [0.964, 0.716, 0.065], [0.210, 0.599, 0.759], [0.241, 0.790, 0.401], [0.401, 0.241, 0.790], [0.599, 0.759, 0.210], [0.759, 0.210, 0.599], [0.790, 0.401, 0.241], [0.500, 0.500, 0.500]]}

***

# 4
{"formula": "Nd3Er7Sc", "functional": "GGA-PBE", "state": "optimized geometry", "rho_g_cm3": 7.547, "n_ef_per_ev_cell": 16.48, "e_tot_ev_per_cell": -50.60, "lattice": [[6.987, 0.000, 0.000], [-3.493, 6.051, 0.000], [0.000, 0.000, 8.580]], "species": ["Nd", "Nd", "Nd", "Er", "Er", "Er", "Er", "Er", "Er", "Er", "Sc"], "fractional_positions": [[0.167, 0.335, 0.000], [0.167, 0.833, 0.000], [0.665, 0.833, 0.000], [0.000, 0.000, 0.659], [0.003, 0.502, 0.656], [0.331, 0.166, 0.336], [0.498, 0.502, 0.656], [0.498, 0.997, 0.656], [0.834, 0.166, 0.336], [0.834, 0.669, 0.336], [0.333, 0.667, 0.338]]}

***

# 5
{"formula": "Nd2Er2Sc", "functional": "GGA-PBE", "state": "optimized geometry", "polymorph_energy_ev_per_fu": 0.093, "rho_g_cm3": 6.793, "n_ef_per_ev_cell": 14.27, "e_tot_ev_per_cell": -47.83, "lattice": [[6.444, 0.000, 0.000], [0.000, 5.559, 0.000], [-0.005, 0.000, 9.117]], "species": ["Nd", "Nd", "Nd", "Nd", "Er", "Er", "Er", "Er", "Sc", "Sc"], "fractional_positions": [[0.244, 0.000, 0.399], [0.255, 0.000, 0.901], [0.745, 0.000, 0.099], [0.756, 0.000, 0.601], [0.072, 0.500, 0.167], [0.427, 0.500, 0.667], [0.573, 0.500, 0.333], [0.928, 0.500, 0.833], [0.000, 0.500, 0.500], [0.500, 0.500, 0.000]]}

***

# 6
{"formula": "NdEr5Sc3", "functional": "GGA-PBE", "state": "optimized geometry", "rho_g_cm3": 6.263, "n_ef_per_ev_cell": 26.25, "e_tot_ev_per_cell": -84.75, "lattice": [[7.276, -5.539, 0.000], [7.276, 5.539, 0.000], [-6.156, 0.000, 7.338]], "species": ["Nd", "Nd", "Er", "Er", "Er", "Er", "Er", "Er", "Er", "Er", "Er", "Er", "Sc", "Sc", "Sc", "Sc", "Sc", "Sc"], "fractional_positions": [[0.246, 0.246, 0.090], [0.754, 0.754, 0.910], [0.114, 0.618, 0.756], [0.223, 0.223, 0.729], [0.241, 0.759, 0.500], [0.281, 0.281, 0.464], [0.382, 0.886, 0.244], [0.618, 0.114, 0.756], [0.719, 0.719, 0.536], [0.759, 0.241, 0.500], [0.777, 0.777, 0.271], [0.886, 0.382, 0.244], [0.000, 0.000, 0.000], [0.010, 0.010, 0.316], [0.480, 0.480, 0.135], [0.500, 0.500, 0.500], [0.520, 0.520, 0.865], [0.990, 0.990, 0.684]]}

***

# 7
{"formula": "Nd15Er4Sc", "functional": "GGA-PBE", "state": "optimized geometry", "rho_g_cm3": 7.097, "n_ef_per_ev_cell": 25.52, "e_tot_ev_per_cell": -95.80, "lattice": [[5.132, 0.000, 0.000], [0.000, 5.132, 0.000], [0.000, 0.000, 25.559]], "species": ["Nd", "Nd", "Nd", "Nd", "Nd", "Nd", "Nd", "Nd", "Nd", "Nd", "Nd", "Nd", "Nd", "Nd", "Nd", "Er", "Er", "Er", "Er", "Sc"], "fractional_positions": [[0.000, 0.000, 0.000], [0.000, 0.000, 0.198], [0.000, 0.000, 0.399], [0.000, 0.000, 0.601], [0.000, 0.000, 0.802], [0.000, 0.500, 0.097], [0.000, 0.500, 0.299], [0.000, 0.500, 0.500], [0.000, 0.500, 0.701], [0.000, 0.500, 0.903], [0.500, 0.000, 0.097], [0.500, 0.000, 0.299], [0.500, 0.000, 0.500], [0.500, 0.000, 0.701], [0.500, 0.000, 0.903], [0.500, 0.500, 0.198], [0.500, 0.500, 0.399], [0.500, 0.500, 0.601], [0.500, 0.500, 0.802], [0.500, 0.500, 0.000]]}

***

# 8
{"formula": "Nd4ErSc", "functional": "GGA-PBE", "state": "optimized geometry", "polymorph_energy_ev_per_fu": 3.257, "rho_g_cm3": 5.728, "n_ef_per_ev_cell": 9.76, "e_tot_ev_per_cell": -26.50, "lattice": [[5.738, -5.760, 0.000], [5.738, 5.760, 0.000], [0.000, 0.000, 3.461]], "species": ["Nd", "Nd", "Nd", "Nd", "Er", "Sc"], "fractional_positions": [[0.233, 0.767, 0.000], [0.255, 0.255, 0.500], [0.745, 0.745, 0.500], [0.767, 0.233, 0.000], [0.500, 0.500, 0.000], [0.000, 0.000, 0.500]]}